[1]
## KAlSi2 (PBE)

Data for crystalline KAlSi2 at its relaxed geometry.

Structure (POSCAR):
```
KAlSi2
1.0
4.4953 -0.0009 -0.0080
3.0331 3.3178 -0.0080
1.2528 0.5520 6.6799
Si Al K
2 1 1
Direct
0.4893 0.4893 0.6236
0.0107 0.0107 0.8764
0.7500 0.7500 0.7500
0.2500 0.2500 0.2500
```

Calculated values
As for the symmetry: No. 12. The value obtained for the total energy is -0.141 hartree per atom.

---

[2]
## NbAgPd6 (PBE)

Data for crystalline NbAgPd6 at its relaxed geometry.

Structure (POSCAR):
```
NbAgPd6
1.0
3.9910 0.0000 0.0000
0.0000 3.9910 0.0000
0.0000 0.0000 7.9526
Pd Nb Ag
6 1 1
Direct
0.5000 0.5000 0.0000
0.0000 0.5000 0.7405
0.0000 0.5000 0.2595
0.5000 0.5000 0.5000
0.5000 0.0000 0.2595
0.5000 0.0000 0.7405
0.0000 0.0000 0.5000
0.0000 0.0000 0.0000
```

Calculated values
Its energy relative to the elements is -277.1 meV per atom. As for the symmetry: No. 123. The value obtained for the total energy is -0.213 hartree per atom.

---

[3]
## Ba2BePt (PBE)

Data for crystalline Ba2BePt at its relaxed geometry.

Structure (POSCAR):
```
Ba2BePt
1.0
6.3381 -0.0383 0.0000
2.9866 5.5904 0.0000
-4.6624 -2.7760 3.2755
Pt Be Ba
1 1 2
Direct
0.7500 0.2500 0.5000
0.5000 0.5000 0.0000
0.0000 0.0000 0.0000
0.2500 0.7500 0.5000
```

Calculated values
Its energy relative to the elements is 195.7 meV per atom. As for the symmetry: No. 119. The value obtained for the total energy is -0.118 hartree per atom.

---

[4]
## Ce2ErPd (PBE)

Data for crystalline Ce2ErPd at its relaxed geometry.

Structure (POSCAR):
```
Ce2ErPd
1.0
-3.8078 3.1997 1.5989
-4.7658 -1.8995 0.9864
-1.7337 -0.2680 4.9428
Pd Ce Er
1 2 1
Direct
0.5000 0.5000 0.5000
0.7504 0.7504 0.7489
0.2496 0.2496 0.2511
0.0000 0.0000 0.0000
```

Calculated values
Its energy relative to the elements is -23.5 meV per atom. As for the symmetry: No. 166. The value obtained for the total energy is -0.200 hartree per atom.

---

The records above yield magnetic moment values of 0.00, 0.00, 0.00, 1.78 Bohr magnetons per cell, respectively.